DFT (PBE) results for LaPuI5 after structural relaxation.

a b c (Å): 4.3853 9.3976 15.1179
angles (deg): 94.48 90.00 90.00
Fractional positions:
1 La 0.2500 0.4170 0.3429
2 La 0.7500 0.5830 0.6571
3 Pu 0.7500 0.0923 0.1401
4 Pu 0.2500 0.9077 0.8599
5 I 0.2500 0.0710 0.3029
6 I 0.7500 0.1430 0.9293
7 I 0.7500 0.3160 0.4845
8 I 0.2500 0.3460 0.1278
9 I 0.2500 0.3625 0.7138
10 I 0.7500 0.6375 0.2862
11 I 0.7500 0.6540 0.8722
12 I 0.2500 0.6840 0.5155
13 I 0.2500 0.8570 0.0707
14 I 0.7500 0.9290 0.6971

Calculated values
* DOS(E_F): 14.40 states/eV/f.u.
* calculated total energy: -5.169 eV/atom